<w>
DFT (meta-GGA SCAN) results for Ni2Ir at its PBEsol-relaxed geometry.

Geometry as CIF:
```
data_Ni2Ir
_symmetry_space_group_name_H-M 'P 1'
_symmetry_Int_Tables_number 1
_cell_length_a 2.597
_cell_length_b 3.567
_cell_length_c 4.399
_cell_angle_alpha 113.92
_cell_angle_beta 107.16
_cell_angle_gamma 90.00
loop_
_symmetry_equiv_pos_as_xyz
'x,y,z'
loop_
_atom_site_label
_atom_site_fract_x
_atom_site_fract_y
_atom_site_fract_z
Ni1 0.667 0.667 0.334
Ni2 0.333 0.333 0.666
Ir1 0.000 0.000 0.000
```

=====

<x>
DFT (meta-GGA SCAN) results for Ni2Ir at its PBEsol-relaxed geometry.

Geometry as CIF:
```
data_Ni2Ir
_symmetry_space_group_name_H-M 'P 1'
_symmetry_Int_Tables_number 1
_cell_length_a 2.602
_cell_length_b 2.602
_cell_length_c 6.083
_cell_angle_alpha 90.00
_cell_angle_beta 90.00
_cell_angle_gamma 120.00
loop_
_symmetry_equiv_pos_as_xyz
'x,y,z'
loop_
_atom_site_label
_atom_site_fract_x
_atom_site_fract_y
_atom_site_fract_z
Ni1 0.667 0.333 0.341
Ir1 0.000 0.000 0.000
Ni2 0.333 0.667 0.659
```

=====

The structure shown above that is least stable: <x>.